(1)
The following is a DFT calculation (GGA-PBE) of a relaxed ScNiAg crystal.

a = 4.395 Å, b = 4.395 Å, c = 4.395 Å
α = 60.00°, β = 60.00°, γ = 60.00°
Element x y z (fractional)
Sc 0.000 0.000 0.000
Ni 0.750 0.750 0.750
Ag 0.250 0.250 0.250

- Density of states at the Fermi level: 2.39 states/eV/cell
- Energy relative to the lowest polymorph listed for this composition: 523.2 meV/atom
- Magnetization: 0.0 μB per formula unit
- ΔE_f: 0.255 eV per atom



(2)
The following is a DFT calculation (GGA-PBE) of a relaxed Sc2Ni2Ag crystal.

a = 5.114 Å, b = 5.114 Å, c = 5.114 Å
α = 123.32°, β = 123.32°, γ = 84.34°
Element x y z (fractional)
Sc 0.250 0.750 0.500
Sc 0.750 0.250 0.500
Ni 0.148 0.148 0.000
Ni 0.852 0.852 0.000
Ag 0.500 0.500 0.000

- Density of states at the Fermi level: 2.03 states/eV/cell
- Energy relative to the lowest polymorph listed for this composition: 210.9 meV/atom
- Magnetization: 0.0 μB per formula unit
- ΔE_f: -0.212 eV per atom



(3)
The following is a DFT calculation (GGA-PBE) of a relaxed Sc2Ni2Ag crystal.

a = 7.083 Å, b = 7.083 Å, c = 3.317 Å
α = 90.00°, β = 90.00°, γ = 90.00°
Element x y z (fractional)
Sc 0.170 0.330 0.000
Sc 0.330 0.830 0.000
Sc 0.670 0.170 0.000
Sc 0.830 0.670 0.000
Ni 0.124 0.624 0.500
Ni 0.376 0.124 0.500
Ni 0.624 0.876 0.500
Ni 0.876 0.376 0.500
Ag 0.000 0.000 0.500
Ag 0.500 0.500 0.500

- Density of states at the Fermi level: 8.29 states/eV/cell
- Energy relative to the lowest polymorph listed for this composition: 0.0 meV/atom
- Magnetization: 0.0 μB per formula unit
- ΔE_f: -0.423 eV per atom



(4)
The following is a DFT calculation (GGA-PBE) of a relaxed Sc3Ni2Ag3 crystal.

a = 7.151 Å, b = 7.151 Å, c = 3.209 Å
α = 90.00°, β = 90.00°, γ = 120.00°
Element x y z (fractional)
Sc 0.000 0.579 0.000
Sc 0.421 0.421 0.000
Sc 0.579 0.000 0.000
Ni 0.333 0.667 0.500
Ni 0.667 0.333 0.500
Ag 0.000 0.233 0.500
Ag 0.233 0.000 0.500
Ag 0.767 0.767 0.500

- Density of states at the Fermi level: 6.65 states/eV/cell
- Magnetization: 0.0 μB per formula unit
- ΔE_f: -0.356 eV per atom



(5)
The following is a DFT calculation (GGA-PBE) of a relaxed ScNi4Ag crystal.

a = 4.839 Å, b = 4.839 Å, c = 4.839 Å
α = 60.00°, β = 60.00°, γ = 60.00°
Element x y z (fractional)
Sc 0.000 0.000 0.000
Ni 0.375 0.375 0.375
Ni 0.375 0.375 0.875
Ni 0.375 0.875 0.375
Ni 0.875 0.375 0.375
Ag 0.750 0.750 0.750

- Density of states at the Fermi level: 6.90 states/eV/cell
- Magnetization: 0.6 μB per formula unit
- ΔE_f: -0.302 eV per atom



(6)
The following is a DFT calculation (GGA-PBE) of a relaxed Sc6NiAg2 crystal.

a = 3.378 Å, b = 8.123 Å, c = 8.123 Å
α = 120.82°, β = 90.00°, γ = 90.00°
Element x y z (fractional)
Sc 0.000 0.000 0.000
Sc 0.000 0.521 0.764
Sc 0.000 0.764 0.521
Sc 0.500 0.166 0.768
Sc 0.500 0.360 0.360
Sc 0.500 0.768 0.166
Ni 0.500 0.756 0.756
Ag 0.000 0.099 0.433
Ag 0.000 0.433 0.099

- Density of states at the Fermi level: 14.11 states/eV/cell
- Magnetization: 2.2 μB per formula unit
- ΔE_f: -0.196 eV per atom



(7)
The following is a DFT calculation (GGA-PBE) of a relaxed Sc4NiAg crystal.

a = 5.616 Å, b = 5.616 Å, c = 5.616 Å
α = 60.00°, β = 60.00°, γ = 60.00°
Element x y z (fractional)
Sc 0.376 0.376 0.376
Sc 0.376 0.376 0.873
Sc 0.376 0.873 0.376
Sc 0.873 0.376 0.376
Ni 0.750 0.750 0.750
Ag 0.000 0.000 0.000

- Density of states at the Fermi level: 7.80 states/eV/cell
- Energy relative to the lowest polymorph listed for this composition: 783.4 meV/atom
- Magnetization: 0.0 μB per formula unit
- ΔE_f: 0.469 eV per atom



(8)
The following is a DFT calculation (GGA-PBE) of a relaxed Sc6NiAg crystal.

a = 6.103 Å, b = 6.103 Å, c = 6.168 Å
α = 101.97°, β = 101.97°, γ = 117.61°
Element x y z (fractional)
Sc 0.022 0.415 0.242
Sc 0.234 0.234 0.771
Sc 0.415 0.022 0.242
Sc 0.585 0.978 0.758
Sc 0.766 0.766 0.229
Sc 0.978 0.585 0.758
Ni 0.000 0.000 0.000
Ag 0.500 0.500 0.500

- Density of states at the Fermi level: 11.27 states/eV/cell
- Magnetization: 0.0 μB per formula unit
- ΔE_f: 0.040 eV per atom